An optimized crystal structure of SnGeF3, computed with GGA-PBE.

Cell: 4.605 4.605 4.605 Å, 90.00 90.00 90.00°
Space group Pm-3m (No. 221)
One atom of each set of equivalent atoms:
Sn (0.000, 0.000, 0.000) [1 per cell]
Ge (0.500, 0.500, 0.500) [1 per cell]
F (0.000, 0.000, 0.500) [3 per cell]

## Properties
E = -20.8 eV for the cell shown
Raw formation energy = -1320 meV/atom
Total magnetization = 1.071 μB per cell
Volume = 98 Å³ per cell